TeOs2Rh | Alexandria | GGA-PBEsol | relaxed; size of the total moment = 0.0 μB per formula unit; ΔE_f (raw) = 75 kJ/mol of atoms; space group = No. 166; final energy = -0.3032 hartree per atom
1.0
2.9241 0.0000 0.0000
1.4621 2.5324 0.0000
1.4621 0.8441 8.4763
Te Os Rh
1 2 1
Direct
0.0000 0.0000 0.0000 Te
0.2487 0.2487 0.2539 Os
0.7513 0.7513 0.7461 Os
0.5000 0.5000 0.5000 Rh